1.
RbUCuSe3 | meta-GGA SCAN | single point on PBEsol structure

Cell and atoms, written as extended XYZ:
```
12
Lattice="4.021 0.000 0.000 -2.011 7.542 0.000 0.000 0.000 10.463" Properties=species:S:1:pos:R:3 pbc="T T T"
Cu 0.000 7.065 2.616
Cu 2.011 0.476 7.847
U 0.000 0.000 0.000
U 0.000 0.000 5.231
Se 0.000 5.691 0.632
Se 2.011 6.595 7.847
Se 2.011 1.851 5.864
Se 2.011 1.851 9.831
Se 0.000 5.691 4.599
Se 0.000 0.947 2.616
Rb 2.011 3.686 2.616
Rb 0.000 3.855 7.847
```

Formation energy without anion corrections = -674.0 kJ/mol of formula units
Final energy = -2.532 Ry per atom

2.
PtPb3W | meta-GGA SCAN | single point on PBEsol structure

Cell and atoms, written as extended XYZ:
```
5
Lattice="-2.825 -4.424 -0.109 4.284 -2.766 1.251 -1.111 0.584 5.098" Properties=species:S:1:pos:R:3 pbc="T T T"
Pb 2.142 -1.383 0.625
Pb -0.556 0.292 2.549
Pb -1.412 -2.212 -0.054
W 0.174 -3.303 3.120
Pt 0.000 0.000 0.000
```

Calculated formation energy = 1.323 eV/atom
Final energy = -5.301 Ry per atom